The following is a PBE calculation of a geometry-optimized Rb2OsRuBr6 structure, from Alexandria.

uncorrected formation energy: -0.431 eV per atom
magnetic moment: 8.00 μB per cell
E: -3.679 eV/atom

a = 7.4755 Å, b = 7.4755 Å, c = 10.5391 Å
α = 90.00°, β = 90.00°, γ = 90.00°
Space group I4/mmm (No. 139)
Asymmetric unit:
Rb 0.0000 0.5000 0.2500 (multiplicity 4)
Os 0.0000 0.0000 0.0000 (multiplicity 2)
Ru 0.0000 0.0000 0.5000 (multiplicity 2)
Br 0.0000 0.0000 0.2438 (multiplicity 4)
Br 0.2432 0.2432 0.0000 (multiplicity 8)